[1]
An optimized crystal structure of MnInTc2, computed with PBE-GGA.

a b c (Å): 2.8749 2.8749 26.1669
angles (deg): 90.00 90.00 120.00
Space group R-3m (No. 166, hexagonal axes)
Unique sites:
Mn1 0.0000 0.0000 0.0000 (multiplicity 3)
In1 0.0000 0.0000 0.5000 (multiplicity 3)
Tc1 0.0000 0.0000 0.2585 (multiplicity 6)

[2]
An optimized crystal structure of MnInTc2, computed with PBE-GGA.

a b c (Å): 3.995 3.995 7.816
angles (deg): 90.00 90.00 90.00
Space group I-4m2 (No. 119)
Unique sites:
Mn1 0.000 0.000 0.000 (multiplicity 2)
In1 0.000 0.500 0.250 (multiplicity 2)
Tc1 0.000 0.000 0.500 (multiplicity 2)
Tc2 0.000 0.500 0.750 (multiplicity 2)

So what do the calculations give for ΔH_f (0 K)? Going down the list: 125; 103 kJ/mol of formula units.
So what do the calculations give for raw total energy? Going down the list: -94.02; -63.15 eV/cell.
So what do the calculations give for size of the total moment? Going down the list: 0.45; 0.83 μB per atom.